Record 1
# AcSbAs2Rh5 | Alexandria via LeMat-Bulk | PBE-GGA | relaxed
data_AcSbAs2Rh5
_chemical_formula_sum 'Ac1 Sb1 As2 Rh5'
_cell_length_a 4.1486
_cell_length_b 4.1486
_cell_length_c 10.6262
_cell_angle_alpha 90.00
_cell_angle_beta 90.00
_cell_angle_gamma 90.00
_space_group_name_H-M_alt 'P 4/m m m'
_space_group_IT_number 123
_space_group_name_Hall '-P 4 2'
loop_
_atom_site_label
_atom_site_fract_x
_atom_site_fract_y
_atom_site_fract_z
Ac1 0.0000 0.0000 0.0000
Sb1 0.0000 0.0000 0.5000
As1 0.5000 0.5000 0.2258
Rh1 0.0000 0.5000 0.3442
Rh2 0.5000 0.5000 0.0000
# energy relative to the elements, uncorrected: -610 meV per atom

=====

Record 2
# SmHf2Nb | Alexandria via LeMat-Bulk | PBE-GGA | relaxed
data_SmHf2Nb
_chemical_formula_sum 'Sm1 Hf2 Nb1'
_cell_length_a 3.5162
_cell_length_b 3.5162
_cell_length_c 7.6992
_cell_angle_alpha 90.00
_cell_angle_beta 90.00
_cell_angle_gamma 90.00
_space_group_name_H-M_alt 'P 4/m m m'
_space_group_IT_number 123
_space_group_name_Hall '-P 4 2'
loop_
_atom_site_label
_atom_site_fract_x
_atom_site_fract_y
_atom_site_fract_z
Sm1 0.0000 0.0000 0.0000
Hf1 0.5000 0.5000 0.2995
Nb1 0.0000 0.0000 0.5000
# energy of formation: 0.133 eV per atom

=====

Record 3
# Tb7Er2Sc2 | Alexandria via LeMat-Bulk | PBE-GGA | relaxed
data_Tb7Er2Sc2
_chemical_formula_sum 'Tb14 Er4 Sc4'
_cell_length_a 6.3584
_cell_length_b 11.5941
_cell_length_c 9.6873
_cell_angle_alpha 90.00
_cell_angle_beta 90.00
_cell_angle_gamma 90.00
_space_group_name_H-M_alt 'C m m m'
_space_group_IT_number 65
_space_group_name_Hall '-C 2 2'
loop_
_atom_site_label
_atom_site_fract_x
_atom_site_fract_y
_atom_site_fract_z
Tb1 0.0000 0.0000 0.0000
Tb2 0.0000 0.5000 0.2002
Tb3 0.2500 0.2500 0.3177
Er1 0.0000 0.2825 0.0000
Sc1 0.2463 0.5000 0.5000
# E above lowest polymorph: 235 meV per atom
# energy of formation: 0.379 eV per atom

=====

Record 4
# YBeGa2Au4 | Alexandria via LeMat-Bulk | PBE-GGA | relaxed
data_YBeGa2Au4
_chemical_formula_sum 'Y3 Be3 Ga6 Au12'
_cell_length_a 4.4318
_cell_length_b 4.4318
_cell_length_c 25.5617
_cell_angle_alpha 90.00
_cell_angle_beta 90.00
_cell_angle_gamma 120.00
_space_group_name_H-M_alt 'R -3 m'
_space_group_IT_number 166
_space_group_name_Hall '-R 3 2"'
loop_
_atom_site_label
_atom_site_fract_x
_atom_site_fract_y
_atom_site_fract_z
Y1 0.0000 0.0000 0.0000
Be1 0.0000 0.0000 0.5000
Ga1 0.0000 0.0000 0.2519
Au1 0.0000 0.0000 0.1406
Au2 0.0000 0.0000 0.4015
# energy of formation: -0.390 eV per atom

=====

Record 5
# KReAu2 | Alexandria via LeMat-Bulk | PBE-GGA | relaxed
data_KReAu2
_chemical_formula_sum 'K2 Re2 Au4'
_cell_length_a 4.1721
_cell_length_b 4.1721
_cell_length_c 9.5653
_cell_angle_alpha 90.00
_cell_angle_beta 90.00
_cell_angle_gamma 90.00
_space_group_name_H-M_alt 'I -4 m 2'
_space_group_IT_number 119
_space_group_name_Hall 'I -4 -2'
loop_
_atom_site_label
_atom_site_fract_x
_atom_site_fract_y
_atom_site_fract_z
K1 0.0000 0.0000 0.0000
Re1 0.0000 0.5000 0.7500
Au1 0.0000 0.0000 0.5000
Au2 0.0000 0.5000 0.2500
# E above lowest polymorph: 607 meV per atom
# energy of formation: 1.089 eV per atom

=====

Record 6
# Pm4NpRu4 | Alexandria via LeMat-Bulk | PBE-GGA | relaxed
data_Pm4NpRu4
_chemical_formula_sum 'Pm8 Np2 Ru8'
_cell_length_a 8.6011
_cell_length_b 8.6011
_cell_length_c 5.9346
_cell_angle_alpha 90.00
_cell_angle_beta 90.00
_cell_angle_gamma 90.00
_space_group_name_H-M_alt 'P 42/n'
_space_group_IT_number 86
loop_
_space_group_symop_operation_xyz
'x,y,z'
'-x,-y,-z'
'-y,x+1/2,z+1/2'
'y,-x+1/2,-z+1/2'
'-x+1/2,-y+1/2,z'
'x+1/2,y+1/2,-z'
'y+1/2,-x,z+1/2'
'-y+1/2,x,-z+1/2'
loop_
_atom_site_label
_atom_site_fract_x
_atom_site_fract_y
_atom_site_fract_z
Pm1 0.0493 0.8200 0.1365
Np1 0.2500 0.2500 0.2500
Ru1 0.0154 0.1348 0.3680
# energy of formation: -0.130 eV per atom

=====

Record 7
# Pu6GeRu2 | Alexandria via LeMat-Bulk | PBE-GGA | relaxed
data_Pu6GeRu2
_chemical_formula_sum 'Pu6 Ge1 Ru2'
_cell_length_a 7.6577
_cell_length_b 7.6577
_cell_length_c 2.9208
_cell_angle_alpha 90.00
_cell_angle_beta 90.00
_cell_angle_gamma 120.00
_space_group_name_H-M_alt 'P -3 1 m'
_space_group_IT_number 162
_space_group_name_Hall '-P 3 2'
loop_
_atom_site_label
_atom_site_fract_x
_atom_site_fract_y
_atom_site_fract_z
Pu1 0.0000 0.3325 0.4116
Ge1 0.0000 0.0000 0.0000
Ru1 0.3333 0.6667 0.0000
# energy of formation: 0.166 eV per atom

=====

Record 8
# NbNiN2 | Alexandria via LeMat-Bulk | PBE-GGA | relaxed
data_NbNiN2
_chemical_formula_sum 'Nb4 Ni4 N8'
_cell_length_a 5.3168
_cell_length_b 5.3168
_cell_length_c 5.3168
_cell_angle_alpha 90.00
_cell_angle_beta 90.00
_cell_angle_gamma 90.00
_space_group_name_H-M_alt 'F m -3 m'
_space_group_IT_number 225
_space_group_name_Hall '-F 4 2 3'
loop_
_atom_site_label
_atom_site_fract_x
_atom_site_fract_y
_atom_site_fract_z
Nb1 0.0000 0.0000 0.0000
Ni1 0.0000 0.0000 0.5000
N1 0.2500 0.2500 0.2500
# energy relative to the elements, uncorrected: 203 meV per atom